Computed, not measured: GaAs2Rh8 after structural relaxation at the GGA-PBE level of DFT.

a = 4.005 Å, b = 6.801 Å, c = 7.127 Å
α = 118.50°, β = 106.32°, γ = 90.00°
Fractional coordinates of all 11 atoms:
1 Rh 0.142 0.142 0.283
2 Rh 0.334 0.560 0.668
3 Rh 0.000 0.698 0.000
4 Rh 0.000 0.302 0.000
5 Rh 0.334 0.108 0.668
6 Rh 0.858 0.858 0.717
7 Rh 0.666 0.440 0.332
8 Rh 0.666 0.892 0.332
9 Ga 0.500 0.000 0.000
10 As 0.816 0.316 0.633
11 As 0.184 0.684 0.367

calculated volume	161.6	Å³ per cell
symmetry	Immm
spin magnetization	0.000	μB per formula unit
DOS at the Fermi energy	0.96	states/eV/atom

---

Computed, not measured: Ga2AsRh8 after structural relaxation at the GGA-PBE level of DFT.

a = 4.073 Å, b = 5.393 Å, c = 7.887 Å
α = 103.36°, β = 104.96°, γ = 90.00°
Fractional coordinates of all 11 atoms:
1 Ga 0.815 0.262 0.630
2 Ga 0.185 0.738 0.370
3 Rh 0.398 0.550 0.796
4 Rh 0.978 0.248 0.957
5 Rh 0.789 0.696 0.578
6 Rh 0.211 0.304 0.422
7 Rh 0.602 0.450 0.204
8 Rh 0.022 0.752 0.043
9 Rh 0.347 0.021 0.695
10 Rh 0.653 0.979 0.305
11 As 0.500 0.000 0.000

calculated volume	162.5	Å³ per cell
symmetry	C2/m
spin magnetization	0.000	μB per formula unit
DOS at the Fermi energy	1.34	states/eV/atom

---

Computed, not measured: GaAsRhSe2 after structural relaxation at the GGA-PBE level of DFT.

a = 4.862 Å, b = 4.862 Å, c = 4.795 Å
α = 90.00°, β = 90.00°, γ = 90.00°
Fractional coordinates of all 5 atoms:
1 Ga 0.000 0.000 0.000
2 Se 0.500 0.000 0.000
3 Se 0.000 0.500 0.000
4 Rh 0.500 0.500 0.500
5 As 0.000 0.000 0.500

calculated volume	113.4	Å³ per cell
symmetry	P4/mmm
spin magnetization	0.574	μB per formula unit
energy above the most stable polymorph in this dataset	592	meV per atom
DOS at the Fermi energy	0.72	states/eV/atom
formation energy from raw total energies	4.32	eV/f.u.

---

| no. | total DFT energy (no corrections) (eV/atom) |
| --- | --- |
| 1 | -6.7240 |
| 2 | -6.5474 |
| 3 | -3.5347 |